1.
A plane-wave DFT calculation with PBE was carried out for a geometry-optimized ScFeSi2 structure.

abc: 5.063 9.761 14.215
angles: 90.00 90.00 105.03
Last column: magnetic moment on the atom in μB.
Sites, in units of the cell vectors:
Si: 0.235 0.470 0.857  -0.02
Si: 0.265 0.530 0.357  -0.02
Sc: 0.033 0.065 0.677  -0.03
Si: 0.860 0.720 0.992  -0.02
Si: 0.336 0.172 0.250  0.00
Fe: 0.589 0.678 0.250  1.00
Si: 0.140 0.280 0.008  -0.02
Si: 0.640 0.280 0.492  -0.02
Si: 0.164 0.828 0.750  0.00
Si: 0.167 0.334 0.601  -0.01
Si: 0.754 0.000 0.500  0.00
Si: 0.667 0.334 0.899  -0.01
Si: 0.664 0.828 0.750  0.00
Fe: 0.411 0.322 0.750  1.00
Fe: 0.089 0.678 0.250  1.00
Sc: 0.377 0.754 0.915  -0.01
Si: 0.246 0.000 0.500  0.00
Si: 0.360 0.720 0.508  -0.02
Si: 0.254 0.000 0.000  0.00
Fe: 0.959 0.918 0.877  -0.01
Sc: 0.704 0.408 0.319  -0.04
Si: 0.746 0.000 0.000  0.00
Si: 0.087 0.174 0.856  -0.01
Si: 0.765 0.530 0.143  -0.02
Si: 0.735 0.470 0.643  -0.02
Sc: 0.796 0.592 0.819  -0.04
Sc: 0.204 0.408 0.181  -0.04
Fe: 0.459 0.918 0.623  -0.01
Sc: 0.296 0.592 0.681  -0.04
Sc: 0.967 0.935 0.323  -0.03
Fe: 0.041 0.082 0.123  -0.01
Si: 0.913 0.826 0.144  -0.01
Si: 0.836 0.172 0.250  0.00
Si: 0.413 0.826 0.356  -0.01
Sc: 0.467 0.935 0.177  -0.03
Fe: 0.911 0.322 0.750  1.00
Fe: 0.500 0.500 0.000  1.08
Sc: 0.533 0.065 0.823  -0.03
Fe: 0.500 0.500 0.500  1.08
Sc: 0.623 0.246 0.085  -0.01
Si: 0.833 0.666 0.399  -0.01
Si: 0.587 0.174 0.644  -0.01
Sc: 0.123 0.246 0.415  -0.01
Fe: 0.541 0.082 0.377  -0.01
Si: 0.333 0.666 0.101  -0.01
Fe: 0.000 0.500 0.000  1.08
Fe: 0.000 0.500 0.500  1.08
Sc: 0.877 0.754 0.585  -0.01

The raw formation energy comes out at -0.677 eV per atom. Its crystal system is orthorhombic.


2.
A plane-wave DFT calculation with PBE was carried out for a geometry-optimized TiBeIn2W structure.

abc: 4.512 4.469 4.512
angles: 90.00 90.00 90.00
Sites, in units of the cell vectors:
Ti: 0.500 0.500 0.500
In: 0.500 0.000 0.000
W: 0.000 0.500 0.000
In: 0.000 0.000 0.500
Be: 0.000 0.000 0.000

The formation enthalpy at 0 K is 74 kJ per mole of atoms. Its crystal system is tetragonal.


Number 1: E -7.087 eV per atom, theoretical density 4.61 g/cm³. Number 2: E -5.246 eV per atom, theoretical density 8.58 g/cm³.